The following is a GGA-PBE calculation of Pu4HgBi2 after structural relaxation, from the Alexandria database.

Calculated values
Density of states at the Fermi level (states/eV/cell): 94.3
Total energy (eV per atom): -9.2569
Formation energy from the elements (meV per atom): 85
Magnetization (μB/cell): 0.3

The structure in CIF format:
```
data_Pu4HgBi2
_chemical_formula_sum 'Pu16 Hg4 Bi8'
_space_group_name_H-M_alt 'F m m m'
_space_group_IT_number 69
_space_group_name_Hall '-F 2 2'
_cell_length_a 5.844
_cell_length_b 10.763
_cell_length_c 12.501
_cell_angle_alpha 90.00
_cell_angle_beta 90.00
_cell_angle_gamma 90.00
loop_
_atom_site_label
_atom_site_fract_x
_atom_site_fract_y
_atom_site_fract_z
Pu1 0.250 0.250 0.000
Pu2 0.250 0.250 0.250
Hg1 0.000 0.000 0.000
Bi1 0.000 0.000 0.357
```


The following is a GGA-PBE calculation of PuHgBi after structural relaxation, from the Alexandria database.

Calculated values
Density of states at the Fermi level (states/eV/cell): 18.7
Total energy (eV per atom): -6.3214
Formation energy from the elements (meV per atom): -150
ΔE to the lowest computed polymorph (meV per atom): 92
Magnetization (μB/cell): 11.9

The structure in CIF format:
```
data_PuHgBi
_chemical_formula_sum 'Pu2 Hg2 Bi2'
_space_group_name_H-M_alt 'I 4 m m'
_space_group_IT_number 107
_space_group_name_Hall 'I 4 -2'
_cell_length_a 3.783
_cell_length_b 3.783
_cell_length_c 11.756
_cell_angle_alpha 90.00
_cell_angle_beta 90.00
_cell_angle_gamma 90.00
loop_
_atom_site_label
_atom_site_fract_x
_atom_site_fract_y
_atom_site_fract_z
Pu1 0.000 0.000 0.000
Hg1 0.000 0.000 0.341
Bi1 0.000 0.000 0.679
```


The following is a GGA-PBE calculation of Pu2HgBi4 after structural relaxation, from the Alexandria database.

Calculated values
Density of states at the Fermi level (states/eV/cell): 24.3
Total energy (eV per atom): -6.5704
Formation energy from the elements (meV per atom): -215
Magnetization (μB/cell): 10.5

The structure in CIF format:
```
data_Pu2HgBi4
_chemical_formula_sum 'Pu2 Hg1 Bi4'
_space_group_name_H-M_alt 'P -4 m 2'
_space_group_IT_number 115
_cell_length_a 4.612
_cell_length_b 4.612
_cell_length_c 10.044
_cell_angle_alpha 90.00
_cell_angle_beta 90.00
_cell_angle_gamma 90.00
loop_
_space_group_symop_operation_xyz
'x,y,z'
'y,-x,-z'
'-x,-y,z'
'-y,x,-z'
'-x,y,z'
'-y,-x,-z'
'x,-y,z'
'y,x,-z'
loop_
_atom_site_label
_atom_site_fract_x
_atom_site_fract_y
_atom_site_fract_z
Pu1 0.000 0.500 0.245
Hg1 0.500 0.500 0.000
Bi1 0.000 0.000 0.500
Bi2 0.000 0.500 0.805
Bi3 0.500 0.500 0.500
```